The following is a DFT calculation (PBEsol) of crystalline Ba5Sb at its relaxed geometry.

```
6
Lattice="4.4628 0.0000 0.0000 2.2314 7.4165 0.0577 2.2314 3.4111 9.3530" Properties=species:S:1:pos:R:3 pbc="T T T"
Sb 0.0000 0.0000 0.0000
Ba 4.4628 5.8131 8.1973
Ba 2.2314 5.4138 4.7053
Ba 4.4628 5.0145 1.2134
Ba 6.6942 9.5911 6.8761
Ba 2.2314 1.2365 2.5346
```

Properties
**ΔE_f (raw)**: -0.354 eV/atom
**Crystal system**: monoclinic
**Fermi-level density of states**: 7.3 states/eV/f.u.
**DFT total energy**: -2.904 eV/atom
**Calculated density**: 4.35 g cm⁻³